Density functional theory data (PBE) for an optimized crystal structure of Na2Li2Ga.

Results
electronic total energy = -17.56 eV/cell
M_tot = 0.00 μB/f.u.
calculated formation energy = 13.7 kJ per mole of atoms
E above lowest polymorph = 125 meV per atom

```
data_Na2Li2Ga
_cell_length_a 8.188
_cell_length_b 8.188
_cell_length_c 3.579
_cell_angle_alpha 90.00
_cell_angle_beta 90.00
_cell_angle_gamma 90.00
_space_group_name_H-M_alt 'P 1'
_space_group_IT_number 1
loop_
_space_group_symop_operation_xyz
'x,y,z'
loop_
_atom_site_label
_atom_site_fract_x
_atom_site_fract_y
_atom_site_fract_z
Li1 0.669 0.831 0.500
Na1 0.361 0.861 0.000
Na2 0.139 0.361 0.000
Na3 0.861 0.639 0.000
Li2 0.169 0.669 0.500
Na4 0.639 0.139 0.000
Li3 0.831 0.331 0.500
Ga1 0.500 0.500 0.000
Li4 0.331 0.169 0.500
Ga2 0.000 0.000 0.000
```